## MgCdSe2 (PBE-GGA)

Data for crystalline MgCdSe2 at its relaxed geometry.

```
MgCdSe2
1.0
4.320 0.000 0.000
-2.160 3.741 0.000
0.000 0.000 7.017
Mg Cd Se
1 1 2
Direct
0.000 0.000 0.000 Mg
0.333 0.667 0.507 Cd
0.000 0.000 0.371 Se
0.333 0.667 0.889 Se
```

Properties
space-group type = No. 156
formation energy from raw total energies = -0.94 eV/atom
total DFT energy (no corrections) = -13.237 eV/cell